--- i ---
The following is a PBE calculation of a relaxed RbNa2Tl2 crystal, from Alexandria via LeMat-Bulk.

a = 7.279 Å, b = 7.279 Å, c = 6.479 Å
α = 107.00°, β = 107.00°, γ = 39.74°
Fractional coordinates of all 5 atoms:
Rb: 0.000 0.000 0.000
Na: 0.342 0.342 0.435
Na: 0.658 0.658 0.565
Tl: 0.271 0.271 0.874
Tl: 0.729 0.729 0.126

Computed properties:
Magnetic moment   0.00 μB/f.u.
Volume   209 Å³/f.u.

--- ii ---
The following is a PBE calculation of a relaxed RbNa2Tl2 crystal, from Alexandria via LeMat-Bulk.

a = 9.675 Å, b = 9.675 Å, c = 3.759 Å
α = 90.00°, β = 90.00°, γ = 90.00°
Fractional coordinates of all 10 atoms:
Rb: 0.000 0.000 0.000
Rb: 0.500 0.500 0.000
Na: 0.170 0.330 0.500
Na: 0.330 0.830 0.500
Na: 0.670 0.170 0.500
Na: 0.830 0.670 0.500
Tl: 0.119 0.619 0.000
Tl: 0.381 0.119 0.000
Tl: 0.619 0.881 0.000
Tl: 0.881 0.381 0.000

Computed properties:
Magnetic moment   0.00 μB/f.u.
Volume   176 Å³/f.u.

--- iii ---
The following is a PBE calculation of a relaxed RbNa2Tl2 crystal, from Alexandria via LeMat-Bulk.

a = 7.990 Å, b = 7.990 Å, c = 7.990 Å
α = 141.49°, β = 141.49°, γ = 55.60°
Fractional coordinates of all 5 atoms:
Rb: 0.000 0.000 0.000
Na: 0.250 0.750 0.500
Na: 0.750 0.250 0.500
Tl: 0.392 0.392 0.000
Tl: 0.608 0.608 0.000

Computed properties:
Magnetic moment   0.00 μB/f.u.
Volume   196 Å³/f.u.

Q: Which of them is the most stable? A: ii.

--- i ---
The following is a PBE calculation of a relaxed RbNa2Tl2 crystal, from Alexandria via LeMat-Bulk.

a = 9.853 Å, b = 9.853 Å, c = 3.601 Å
α = 90.00°, β = 90.00°, γ = 90.00°
Fractional coordinates of all 10 atoms:
Rb: 0.000 0.000 0.000
Rb: 0.500 0.500 0.000
Na: 0.126 0.374 0.000
Na: 0.374 0.874 0.000
Na: 0.626 0.126 0.000
Na: 0.874 0.626 0.000
Tl: 0.166 0.666 0.500
Tl: 0.334 0.166 0.500
Tl: 0.666 0.834 0.500
Tl: 0.834 0.334 0.500

Computed properties:
Magnetic moment   0.00 μB/f.u.
Volume   175 Å³/f.u.

--- ii ---
The following is a PBE calculation of a relaxed RbNa2Tl2 crystal, from Alexandria via LeMat-Bulk.

a = 5.436 Å, b = 5.436 Å, c = 7.590 Å
α = 90.07°, β = 90.07°, γ = 113.64°
Fractional coordinates of all 5 atoms:
Rb: 0.000 0.000 0.000
Na: 0.173 0.827 0.500
Na: 0.827 0.173 0.500
Tl: 0.499 0.499 0.705
Tl: 0.501 0.501 0.295

Computed properties:
Magnetic moment   0.00 μB/f.u.
Volume   205 Å³/f.u.

Q: Which of them is the most stable? A: i.

--- i ---
The following is a PBE calculation of a relaxed Rb3Na4Tl crystal, from Alexandria via LeMat-Bulk.

a = 7.507 Å, b = 14.555 Å, c = 8.071 Å
α = 90.00°, β = 90.00°, γ = 90.00°
Fractional coordinates of all 16 atoms:
Rb: 0.250 0.004 0.177
Rb: 0.250 0.496 0.177
Rb: 0.250 0.750 0.562
Rb: 0.750 0.250 0.438
Rb: 0.750 0.504 0.823
Rb: 0.750 0.996 0.823
Na: 0.007 0.250 0.976
Na: 0.250 0.122 0.640
Na: 0.250 0.378 0.640
Na: 0.493 0.250 0.976
Na: 0.507 0.750 0.024
Na: 0.750 0.622 0.360
Na: 0.750 0.878 0.360
Na: 0.993 0.750 0.024
Tl: 0.250 0.250 0.312
Tl: 0.750 0.750 0.688

Computed properties:
Magnetic moment   0.00 μB/f.u.
Volume   441 Å³/f.u.

--- ii ---
The following is a PBE calculation of a relaxed Rb3Na4Tl crystal, from Alexandria via LeMat-Bulk.

a = 12.312 Å, b = 8.556 Å, c = 7.662 Å
α = 90.00°, β = 90.00°, γ = 90.00°
Fractional coordinates of all 16 atoms:
Rb: 0.000 0.015 0.000
Rb: 0.193 0.182 0.499
Rb: 0.307 0.818 0.999
Rb: 0.500 0.985 0.500
Rb: 0.693 0.818 0.999
Rb: 0.807 0.182 0.499
Na: 0.000 0.536 0.769
Na: 0.000 0.537 0.231
Na: 0.236 0.652 0.499
Na: 0.264 0.348 0.999
Na: 0.500 0.463 0.731
Na: 0.500 0.464 0.269
Na: 0.736 0.348 0.999
Na: 0.764 0.652 0.499
Tl: 0.000 0.830 0.501
Tl: 0.500 0.170 0.001

Computed properties:
Magnetic moment   0.00 μB/f.u.
Volume   404 Å³/f.u.

Q: Which of them is the most stable? A: ii.

--- i ---
The following is a PBE calculation of a relaxed RbNa4Tl crystal, from Alexandria via LeMat-Bulk.

a = 6.916 Å, b = 6.916 Å, c = 6.916 Å
α = 60.00°, β = 60.00°, γ = 60.00°
Fractional coordinates of all 6 atoms:
Rb: 0.000 0.000 0.000
Na: 0.132 0.623 0.623
Na: 0.623 0.132 0.623
Na: 0.623 0.623 0.132
Na: 0.623 0.623 0.623
Tl: 0.250 0.250 0.250

Computed properties:
Magnetic moment   0.00 μB/f.u.
Volume   234 Å³/f.u.

--- ii ---
The following is a PBE calculation of a relaxed RbNa4Tl crystal, from Alexandria via LeMat-Bulk.

a = 9.670 Å, b = 9.670 Å, c = 7.167 Å
α = 109.06°, β = 109.06°, γ = 53.05°
Fractional coordinates of all 12 atoms:
Rb: 0.221 0.221 0.137
Rb: 0.779 0.779 0.863
Na: 0.098 0.694 0.458
Na: 0.213 0.787 0.000
Na: 0.306 0.902 0.542
Na: 0.341 0.341 0.762
Na: 0.659 0.659 0.238
Na: 0.694 0.098 0.458
Na: 0.787 0.213 0.000
Na: 0.902 0.306 0.542
Tl: 0.466 0.466 0.262
Tl: 0.534 0.534 0.738

Computed properties:
Magnetic moment   0.00 μB/f.u.
Volume   249 Å³/f.u.

Q: Which of them is the most stable? A: ii.

--- i ---
The following is a PBE calculation of a relaxed Rb2Na6Tl crystal, from Alexandria via LeMat-Bulk.

a = 11.019 Å, b = 11.019 Å, c = 3.958 Å
α = 90.00°, β = 90.00°, γ = 120.00°
Fractional coordinates of all 9 atoms:
Rb: 0.333 0.667 0.000
Rb: 0.667 0.333 0.000
Na: 0.000 0.282 0.753
Na: 0.000 0.718 0.247
Na: 0.282 0.000 0.753
Na: 0.282 0.282 0.247
Na: 0.718 0.000 0.247
Na: 0.718 0.718 0.753
Tl: 0.000 0.000 0.500

Computed properties:
Magnetic moment   0.00 μB/f.u.
Volume   416 Å³/f.u.

--- ii ---
The following is a PBE calculation of a relaxed Rb2Na6Tl crystal, from Alexandria via LeMat-Bulk.

a = 7.704 Å, b = 7.704 Å, c = 7.924 Å
α = 101.88°, β = 101.88°, γ = 60.46°
Fractional coordinates of all 9 atoms:
Rb: 0.149 0.149 0.361
Rb: 0.851 0.851 0.639
Na: 0.122 0.622 0.178
Na: 0.378 0.878 0.822
Na: 0.381 0.381 0.809
Na: 0.619 0.619 0.191
Na: 0.622 0.122 0.178
Na: 0.878 0.378 0.822
Tl: 0.500 0.500 0.500

Computed properties:
Magnetic moment   0.00 μB/f.u.
Volume   397 Å³/f.u.

Q: Which of them is the most stable? A: ii.

--- i ---
The following is a PBE calculation of a relaxed Rb2Na2Tl crystal, from Alexandria via LeMat-Bulk.

a = 7.684 Å, b = 7.684 Å, c = 7.684 Å
α = 136.75°, β = 124.89°, γ = 72.52°
Fractional coordinates of all 5 atoms:
Rb: 0.198 0.198 0.000
Rb: 0.802 0.802 0.000
Na: 0.262 0.500 0.762
Na: 0.738 0.500 0.238
Tl: 0.500 0.000 0.500

Computed properties:
Magnetic moment   0.36 μB/f.u.
Volume   249 Å³/f.u.

--- ii ---
The following is a PBE calculation of a relaxed Rb2Na2Tl crystal, from Alexandria via LeMat-Bulk.

a = 11.107 Å, b = 11.107 Å, c = 4.253 Å
α = 90.00°, β = 90.00°, γ = 90.00°
Fractional coordinates of all 10 atoms:
Rb: 0.184 0.316 0.000
Rb: 0.316 0.816 0.000
Rb: 0.684 0.184 0.000
Rb: 0.816 0.684 0.000
Na: 0.114 0.614 0.500
Na: 0.386 0.114 0.500
Na: 0.614 0.886 0.500
Na: 0.886 0.386 0.500
Tl: 0.000 0.000 0.000
Tl: 0.500 0.500 0.000

Computed properties:
Magnetic moment   0.00 μB/f.u.
Volume   262 Å³/f.u.

--- iii ---
The following is a PBE calculation of a relaxed Rb2Na2Tl crystal, from Alexandria via LeMat-Bulk.

a = 8.684 Å, b = 8.684 Å, c = 6.502 Å
α = 90.00°, β = 90.00°, γ = 90.00°
Fractional coordinates of all 10 atoms:
Rb: 0.184 0.316 0.000
Rb: 0.316 0.816 0.000
Rb: 0.684 0.184 0.000
Rb: 0.816 0.684 0.000
Na: 0.148 0.648 0.500
Na: 0.352 0.148 0.500
Na: 0.648 0.852 0.500
Na: 0.852 0.352 0.500
Tl: 0.000 0.000 0.500
Tl: 0.500 0.500 0.500

Computed properties:
Magnetic moment   0.00 μB/f.u.
Volume   245 Å³/f.u.

Q: Which of them is the most stable? A: i.